Record 1
# Mg2CdMo (PBE, relaxed)
# **DFT formation energy**: 1.19 eV per formula unit
# **ρ**: 5.67 g cm⁻³
# **Calculated volume**: 75.3 Å³/cell
data_Mg2CdMo
_space_group_name_H-M_alt 'P 1 2/m 1'
_space_group_IT_number 10
_cell_length_a 2.848
_cell_length_b 4.754
_cell_length_c 5.601
_cell_angle_alpha 90.00
_cell_angle_beta 96.96
_cell_angle_gamma 90.00
loop_
_space_group_symop_operation_xyz
'x,y,z'
'-x,-y,-z'
'-x,y,-z'
'x,-y,z'
loop_
_atom_site_label
_atom_site_type_symbol
_atom_site_fract_x
_atom_site_fract_y
_atom_site_fract_z
Mg1 Mg 0.217 0.000 0.231
Cd1 Cd 0.000 0.500 0.500
Mo1 Mo 0.500 0.500 0.000

***

Record 2
# KPtBr (PBE, relaxed)
# **DFT total energy**: -3.006 eV/atom
# **ρ**: 6.10 g cm⁻³
# **Calculated volume**: 171.0 Å³/cell
data_KPtBr
_space_group_name_H-M_alt 'I 4 m m'
_space_group_IT_number 107
_space_group_name_Hall 'I 4 -2'
_cell_length_a 3.866
_cell_length_b 3.866
_cell_length_c 11.442
_cell_angle_alpha 90.00
_cell_angle_beta 90.00
_cell_angle_gamma 90.00
loop_
_atom_site_label
_atom_site_type_symbol
_atom_site_fract_x
_atom_site_fract_y
_atom_site_fract_z
K1 K 0.000 0.000 0.000
Pt1 Pt 0.000 0.000 0.267
Br1 Br 0.000 0.000 0.739

***

Record 3
# Tb2Pm4Ho3 (PBE, relaxed)
# **DFT formation energy**: 0.45 eV per formula unit
# **ρ**: 7.85 g cm⁻³
# **Calculated volume**: 589.0 Å³/cell
data_Tb2Pm4Ho3
_space_group_name_H-M_alt 'C 1 2/m 1'
_space_group_IT_number 12
_cell_length_a 17.309
_cell_length_b 3.554
_cell_length_c 9.737
_cell_angle_alpha 90.00
_cell_angle_beta 100.52
_cell_angle_gamma 90.00
loop_
_space_group_symop_operation_xyz
'x,y,z'
'-x,-y,-z'
'-x,y,-z'
'x,-y,z'
'x+1/2,y+1/2,z'
'-x+1/2,-y+1/2,-z'
'-x+1/2,y+1/2,-z'
'x+1/2,-y+1/2,z'
loop_
_atom_site_label
_atom_site_type_symbol
_atom_site_fract_x
_atom_site_fract_y
_atom_site_fract_z
Tb1 Tb 0.177 0.000 0.379
Pm1 Pm 0.001 0.000 0.169
Pm2 Pm 0.163 0.000 0.719
Ho1 Ho 0.000 0.500 0.500
Ho2 Ho 0.162 0.500 0.044

***

Record 4
# AcPmPr5Dy2 (PBE, relaxed)
# **DFT formation energy**: 1.26 eV per formula unit
# **ρ**: 6.98 g cm⁻³
# **Calculated volume**: 1333.6 Å³/cell
data_AcPmPr5Dy2
_space_group_name_H-M_alt 'C m c 21'
_space_group_IT_number 36
_cell_length_a 5.655
_cell_length_b 24.549
_cell_length_c 9.606
_cell_angle_alpha 90.00
_cell_angle_beta 90.00
_cell_angle_gamma 90.00
loop_
_space_group_symop_operation_xyz
'x,y,z'
'-x,-y,z+1/2'
'-x,y,z'
'x,-y,z+1/2'
'x+1/2,y+1/2,z'
'-x+1/2,-y+1/2,z+1/2'
'-x+1/2,y+1/2,z'
'x+1/2,-y+1/2,z+1/2'
loop_
_atom_site_label
_atom_site_type_symbol
_atom_site_fract_x
_atom_site_fract_y
_atom_site_fract_z
Ac1 Ac 0.000 0.103 0.000
Pm1 Pm 0.000 0.265 0.608
Pr1 Pr 0.000 0.024 0.327
Pr2 Pr 0.000 0.105 0.607
Pr3 Pr 0.000 0.189 0.299
Pr4 Pr 0.000 0.241 0.932
Pr5 Pr 0.000 0.492 0.108
Dy1 Dy 0.000 0.327 0.247
Dy2 Dy 0.000 0.388 0.862

***

Record 5
# AlFe2As (PBE, relaxed)
# **DFT formation energy**: -0.54 eV per formula unit
# **ρ**: 6.75 g cm⁻³
# **Calculated volume**: 52.5 Å³/cell
data_AlFe2As
_space_group_name_H-M_alt 'P 4 m m'
_space_group_IT_number 99
_cell_length_a 3.196
_cell_length_b 3.196
_cell_length_c 5.145
_cell_angle_alpha 90.00
_cell_angle_beta 90.00
_cell_angle_gamma 90.00
loop_
_space_group_symop_operation_xyz
'x,y,z'
'-y,x,z'
'-x,-y,z'
'y,-x,z'
'-x,y,z'
'y,x,z'
'x,-y,z'
'-y,-x,z'
loop_
_atom_site_label
_atom_site_type_symbol
_atom_site_fract_x
_atom_site_fract_y
_atom_site_fract_z
Al1 Al 0.000 0.000 0.000
Fe1 Fe 0.000 0.000 0.511
Fe2 Fe 0.500 0.500 0.787
As1 As 0.500 0.500 0.301

***

Record 6
# YTlGaAu (PBE, relaxed)
# **DFT formation energy**: -1.58 eV per formula unit
# **ρ**: 10.30 g cm⁻³
# **Calculated volume**: 361.2 Å³/cell
data_YTlGaAu
_space_group_name_H-M_alt 'F -4 3 m'
_space_group_IT_number 216
_space_group_name_Hall 'F -4 2 3'
_cell_length_a 7.121
_cell_length_b 7.121
_cell_length_c 7.121
_cell_angle_alpha 90.00
_cell_angle_beta 90.00
_cell_angle_gamma 90.00
loop_
_atom_site_label
_atom_site_type_symbol
_atom_site_fract_x
_atom_site_fract_y
_atom_site_fract_z
Y1 Y 0.000 0.000 0.000
Tl1 Tl 0.000 0.000 0.500
Ga1 Ga 0.250 0.250 0.250
Au1 Au 0.250 0.250 0.750

***

Record 7
# Ce3CoC (PBE, relaxed)
# **DFT formation energy**: -0.64 eV per formula unit
# **ρ**: 8.31 g cm⁻³
# **Calculated volume**: 392.5 Å³/cell
data_Ce3CoC
_space_group_name_H-M_alt 'P 1 21/c 1'
_space_group_IT_number 14
_cell_length_a 7.365
_cell_length_b 6.175
_cell_length_c 8.968
_cell_angle_alpha 90.00
_cell_angle_beta 105.78
_cell_angle_gamma 90.00
loop_
_space_group_symop_operation_xyz
'x,y,z'
'-x,-y,-z'
'-x,y+1/2,-z+1/2'
'x,-y+1/2,z+1/2'
loop_
_atom_site_label
_atom_site_type_symbol
_atom_site_fract_x
_atom_site_fract_y
_atom_site_fract_z
Ce1 Ce 0.117 0.069 0.352
Ce2 Ce 0.241 0.587 0.553
Ce3 Ce 0.369 0.097 0.741
Co1 Co 0.455 0.687 0.947
C1 C 0.063 0.243 0.585

***

Record 8
# CrTc2Rh (PBE, relaxed)
# **DFT formation energy**: 0.86 eV per formula unit
# **ρ**: 10.18 g cm⁻³
# **Calculated volume**: 229.0 Å³/cell
data_CrTc2Rh
_space_group_name_H-M_alt 'F -4 3 m'
_space_group_IT_number 216
_space_group_name_Hall 'F -4 2 3'
_cell_length_a 6.118
_cell_length_b 6.118
_cell_length_c 6.118
_cell_angle_alpha 90.00
_cell_angle_beta 90.00
_cell_angle_gamma 90.00
loop_
_atom_site_label
_atom_site_type_symbol
_atom_site_fract_x
_atom_site_fract_y
_atom_site_fract_z
Cr1 Cr 0.000 0.000 0.000
Tc1 Tc 0.000 0.000 0.500
Tc2 Tc 0.250 0.250 0.750
Rh1 Rh 0.250 0.250 0.250

***

Record 9
# LiZrAg (PBE, relaxed)
# **DFT formation energy**: 2.12 eV per formula unit
# **ρ**: 5.06 g cm⁻³
# **Calculated volume**: 270.4 Å³/cell
data_LiZrAg
_space_group_name_H-M_alt 'F -4 3 m'
_space_group_IT_number 216
_space_group_name_Hall 'F -4 2 3'
_cell_length_a 6.466
_cell_length_b 6.466
_cell_length_c 6.466
_cell_angle_alpha 90.00
_cell_angle_beta 90.00
_cell_angle_gamma 90.00
loop_
_atom_site_label
_atom_site_type_symbol
_atom_site_fract_x
_atom_site_fract_y
_atom_site_fract_z
Li1 Li 0.000 0.000 0.000
Zr1 Zr 0.250 0.250 0.750
Ag1 Ag 0.000 0.000 0.500

***

Record 10
# RbSnWBr2 (PBE, relaxed)
# **DFT total energy**: -4.162 eV/atom
# **ρ**: 5.71 g cm⁻³
# **Calculated volume**: 159.4 Å³/cell
data_RbSnWBr2
_space_group_name_H-M_alt 'P 4/m m m'
_space_group_IT_number 123
_space_group_name_Hall '-P 4 2'
_cell_length_a 5.463
_cell_length_b 5.463
_cell_length_c 5.341
_cell_angle_alpha 90.00
_cell_angle_beta 90.00
_cell_angle_gamma 90.00
loop_
_atom_site_label
_atom_site_type_symbol
_atom_site_fract_x
_atom_site_fract_y
_atom_site_fract_z
Rb1 Rb 0.000 0.000 0.000
Sn1 Sn 0.500 0.500 0.000
W1 W 0.500 0.500 0.500
Br1 Br 0.000 0.500 0.500

***

Record 11
# GeSBr (PBE, relaxed)
# **DFT total energy**: -3.795 eV/atom
# **ρ**: 2.99 g cm⁻³
# **Calculated volume**: 205.2 Å³/cell
data_GeSBr
_space_group_name_H-M_alt 'P -1'
_space_group_IT_number 2
_cell_length_a 4.554
_cell_length_b 6.993
_cell_length_c 7.370
_cell_angle_alpha 71.77
_cell_angle_beta 72.11
_cell_angle_gamma 71.03
loop_
_space_group_symop_operation_xyz
'x,y,z'
'-x,-y,-z'
loop_
_atom_site_label
_atom_site_type_symbol
_atom_site_fract_x
_atom_site_fract_y
_atom_site_fract_z
Ge1 Ge 0.165 0.170 0.000
S1 S 0.283 0.804 0.131
Br1 Br 0.047 0.681 0.723

***

Record 12
# TlRe3Ir (PBE, relaxed)
# **DFT formation energy**: 10.75 eV per formula unit
# **ρ**: 14.49 g cm⁻³
# **Calculated volume**: 109.5 Å³/cell
data_TlRe3Ir
_space_group_name_H-M_alt 'P m -3 m'
_space_group_IT_number 221
_space_group_name_Hall '-P 4 2 3'
_cell_length_a 4.784
_cell_length_b 4.784
_cell_length_c 4.784
_cell_angle_alpha 90.00
_cell_angle_beta 90.00
_cell_angle_gamma 90.00
loop_
_atom_site_label
_atom_site_type_symbol
_atom_site_fract_x
_atom_site_fract_y
_atom_site_fract_z
Tl1 Tl 0.000 0.000 0.000
Re1 Re 0.000 0.500 0.500
Ir1 Ir 0.500 0.500 0.500